1.
GGA-PBE HgGePb, relaxed; energy relative to the elements = 0.1830 eV per atom; total magnetic moment = 0.00 μB per cell
1.0
0.0000 3.4849 3.4849
3.4849 0.0000 3.4849
3.4849 3.4849 0.0000
Hg Ge Pb
1 1 1
Direct
0.0000 0.0000 0.0000
0.7500 0.7500 0.7500
0.5000 0.5000 0.5000

---

2.
GGA-PBE YCu4Au8, relaxed; energy relative to the elements = -0.2456 eV per atom; total magnetic moment = 0.00 μB per cell
1.0
-4.5960 4.5960 2.6512
4.5960 -4.5960 2.6512
4.5960 4.5960 -2.6512
Y Cu Au
1 4 8
Direct
0.0000 0.0000 0.0000
0.0000 0.0000 0.5000
0.0000 0.5000 0.0000
0.5000 0.0000 0.0000
0.5000 0.5000 0.5000
0.0000 0.3360 0.3360
0.0000 0.6640 0.6640
0.2816 0.5000 0.7816
0.3360 0.0000 0.3360
0.5000 0.2816 0.7816
0.5000 0.7184 0.2184
0.6640 0.0000 0.6640
0.7184 0.5000 0.2184

---

3.
GGA-PBE Ta4Ga2B, relaxed; energy relative to the elements = -0.2348 eV per atom; total magnetic moment = 0.00 μB per cell
1.0
7.3360 0.0000 0.0000
0.0000 10.0491 0.0000
0.0000 0.0000 3.1187
Ta Ga B
8 4 2
Direct
0.1387 0.1970 0.0000
0.1845 0.9188 0.5000
0.3155 0.4188 0.5000
0.3613 0.6970 0.0000
0.6387 0.3030 0.0000
0.6845 0.5812 0.5000
0.8155 0.0812 0.5000
0.8613 0.8030 0.0000
0.0622 0.6283 0.5000
0.4378 0.1283 0.5000
0.5622 0.8717 0.5000
0.9378 0.3717 0.5000
0.0000 0.0000 0.0000
0.5000 0.5000 0.0000

---

4.
GGA-PBE CeScAsO2, relaxed; energy relative to the elements, uncorrected = -2.60 eV/atom; total magnetic moment = 0.41 μB per cell
1.0
1.8948 -5.8287 0.0000
1.8948 5.8287 0.0000
0.0000 0.0000 7.1898
Ce Sc As O
2 2 2 4
Direct
0.2267 0.7733 0.7500
0.7733 0.2267 0.2500
0.5000 0.5000 0.0000
0.5000 0.5000 0.5000
0.0483 0.9517 0.2500
0.9517 0.0483 0.7500
0.3265 0.6735 0.0643
0.3265 0.6735 0.4357
0.6735 0.3265 0.5643
0.6735 0.3265 0.9357

---

5.
GGA-PBE LiPr5Co2, relaxed; energy relative to the elements = 0.0112 eV per atom; total magnetic moment = 0.00 μB per cell
1.0
-3.9537 3.9537 7.0158
3.9537 -3.9537 7.0158
3.9537 3.9537 -7.0158
Li Pr Co
2 10 4
Direct
0.2500 0.2500 0.0000
0.7500 0.7500 0.0000
0.0000 0.0000 0.0000
0.0287 0.5287 0.8161
0.2126 0.0287 0.5000
0.2874 0.7874 0.8161
0.4713 0.2874 0.5000
0.5000 0.5000 0.0000
0.5287 0.7126 0.5000
0.7126 0.2126 0.1839
0.7874 0.9713 0.5000
0.9713 0.4713 0.1839
0.1367 0.3633 0.5000
0.3633 0.8633 0.2267
0.6367 0.1367 0.7733
0.8633 0.6367 0.5000

---

6.
GGA-PBE NaBi2Pb, relaxed; energy relative to the elements = -0.1309 eV per atom; total magnetic moment = 0.00 μB per cell
1.0
5.1057 0.0000 0.0000
0.0000 6.9619 0.0000
0.0000 0.0000 3.5172
Na Bi Pb
1 2 1
Direct
0.0000 0.0000 0.0000
0.5000 0.2410 0.5146
0.5000 0.7590 0.5146
0.0000 0.5000 0.1580

---

7.
GGA-PBE Ba2SnPb, relaxed; energy relative to the elements = -0.5329 eV per atom; total magnetic moment = 0.00 μB per cell
1.0
3.8931 0.0000 0.0000
0.0000 3.8931 0.0000
0.0000 0.0000 10.0283
Ba Sn Pb
2 1 1
Direct
0.0000 0.0000 0.2445
0.0000 0.0000 0.7555
0.5000 0.5000 0.0000
0.5000 0.5000 0.5000